## i
# KLa2Cu

KLa2Cu after structural relaxation (GGA-PBE, Alexandria).

a = 8.8973 Å, b = 8.8973 Å, c = 7.0784 Å
α = 90.00°, β = 90.00°, γ = 90.00°
With the nearest neighbours (Å) after each atom.
Space group I-42d (No. 122)
Unique sites:
K: 0.0000 0.0000 0.0000 x4  2 Cu 3.54, 8 La 3.70-3.82
La: 0.1825 0.2500 0.6250 x8  2 Cu 2.89
Cu: 0.0000 0.0000 0.5000 x4  4 La 2.89

## ii
# KLa2Cu

KLa2Cu after structural relaxation (GGA-PBE, Alexandria).

a = 4.6990 Å, b = 4.6990 Å, c = 11.5243 Å
α = 90.00°, β = 90.00°, γ = 90.00°
With the nearest neighbours (Å) after each atom.
Space group I-4m2 (No. 119)
Unique sites:
K: 0.0000 0.0000 0.0000 x2  8 La 3.32-3.72, 4 Cu 3.72
La: 0.0000 0.0000 0.5000 x2  4 K 3.32, 4 La 3.72, 4 Cu 3.72
La: 0.0000 0.5000 0.7500 x2  4 Cu 3.32, 4 La 3.72, 4 K 3.72
Cu: 0.0000 0.5000 0.2500 x2  8 La 3.32-3.72, 4 K 3.72

Q: What are the energies relative to the best structure? A: i 0; ii 137, in meV per atom.